--- one ---
## SrHg2Bi2 (PBE)

Data for a geometry-optimized SrHg2Bi2 structure.

Structure (extended XYZ):
```
10
Lattice="8.757 0.000 0.000 0.000 8.757 0.000 0.000 0.000 3.960" Properties=species:S:1:pos:R:3 pbc="T T T"
Sr 0.000 0.000 0.000
Sr 4.379 4.379 0.000
Hg 1.037 3.341 0.000
Hg 3.341 7.720 0.000
Hg 5.416 1.037 0.000
Hg 7.720 5.416 0.000
Bi 1.622 6.001 1.980
Bi 2.756 1.622 1.980
Bi 6.001 7.135 1.980
Bi 7.135 2.756 1.980
```

***

--- two ---
## SrHg2Bi2 (PBE)

Data for a geometry-optimized SrHg2Bi2 structure.

Structure (extended XYZ):
```
10
Lattice="5.116 -6.255 0.000 5.116 6.255 0.000 -4.811 0.000 5.288" Properties=species:S:1:pos:R:3 pbc="T T T"
Sr 1.507 4.448 3.966
Sr 3.913 -4.448 1.322
Hg 2.225 2.197 1.509
Hg 5.601 2.197 1.136
Hg -0.181 -2.197 4.153
Hg 3.195 -2.197 3.780
Bi 3.913 4.724 1.322
Bi 1.507 0.627 3.966
Bi 3.913 -0.627 1.322
Bi 1.507 -4.724 3.966
```

***

Question: which arrangement is favored energetically? Ranking from most to least stable: one, two.

***

--- one ---
## Sr2Hg2Bi (PBE)

Data for a geometry-optimized Sr2Hg2Bi structure.

Structure (extended XYZ):
```
5
Lattice="-3.067 3.067 4.894 3.067 -3.067 4.894 3.067 3.067 -4.894" Properties=species:S:1:pos:R:3 pbc="T T T"
Sr 3.067 0.000 2.447
Sr 0.000 3.067 2.447
Hg 0.000 0.000 1.402
Hg 0.000 0.000 8.385
Bi 0.000 0.000 4.894
```

***

--- two ---
## Sr2Hg2Bi (PBE)

Data for a geometry-optimized Sr2Hg2Bi structure.

Structure (extended XYZ):
```
5
Lattice="5.188 -2.534 0.000 5.188 2.534 0.000 -0.800 0.000 6.734" Properties=species:S:1:pos:R:3 pbc="T T T"
Sr 1.886 0.000 1.438
Sr 7.689 0.000 5.296
Hg 0.552 0.000 4.570
Hg 9.023 0.000 2.163
Bi 5.188 0.000 0.000
```

***

--- three ---
## Sr2Hg2Bi (PBE)

Data for a geometry-optimized Sr2Hg2Bi structure.

Structure (extended XYZ):
```
10
Lattice="8.376 0.000 0.000 0.000 8.376 0.000 0.000 0.000 4.685" Properties=species:S:1:pos:R:3 pbc="T T T"
Sr 1.501 2.687 0.000
Sr 2.687 6.875 0.000
Sr 5.689 1.501 0.000
Sr 6.875 5.689 0.000
Hg 1.035 5.223 2.342
Hg 3.153 1.035 2.342
Hg 5.223 7.342 2.342
Hg 7.342 3.153 2.342
Bi 0.000 0.000 2.342
Bi 4.188 4.188 2.342
```

***

Question: which arrangement is favored energetically? Ranking from most to least stable: three, two, one.